No. 1
Density functional theory data (GGA-PBE) for Er5Pu3Se12 after structural relaxation.

a = 14.5651 Å, b = 14.5651 Å, c = 14.5651 Å
α = 109.47°, β = 109.47°, γ = 109.47°
Positions (direct):
Er1 0.0000 0.5000 0.0000
Er2 0.1250 0.7500 0.3750
Er3 0.7500 0.6250 0.3750
Er4 0.0000 0.0000 0.5000
Er5 0.6250 0.8750 0.2500
Er6 0.5000 0.0000 0.5000
Er7 0.5000 0.0000 0.0000
Er8 0.0000 0.5000 0.5000
Er9 0.3750 0.2500 0.1250
Er10 0.6250 0.7500 0.8750
Er11 0.0000 0.0000 0.0000
Er12 0.8750 0.6250 0.7500
Er13 0.7500 0.1250 0.8750
Er14 0.8750 0.2500 0.6250
Er15 0.3750 0.1250 0.7500
Er16 0.5000 0.5000 0.5000
Er17 0.2500 0.8750 0.1250
Er18 0.5000 0.5000 0.0000
Er19 0.1250 0.3750 0.2500
Er20 0.2500 0.3750 0.6250
Se1 0.0917 0.9174 0.3700
Se2 0.5826 0.6300 0.4083
Se3 0.3700 0.4174 0.0917
Se4 0.9527 0.3700 0.2783
Se5 0.2783 0.4083 0.8256
Se6 0.9174 0.0917 0.8700
Se7 0.1300 0.4083 0.0826
Se8 0.0826 0.1744 0.4527
Se9 0.0473 0.4174 0.8256
Se10 0.1300 0.7217 0.5473
Se11 0.4174 0.3700 0.5917
Se12 0.7217 0.1300 0.0473
Se13 0.8256 0.9083 0.2783
Se14 0.2217 0.6744 0.0917
Se15 0.4527 0.7783 0.8700
Se16 0.5473 0.3256 0.9174
Se17 0.7217 0.5917 0.1744
Se18 0.8700 0.5917 0.9174
Se19 0.7783 0.3256 0.9083
Se20 0.0917 0.1744 0.2217
Se21 0.6300 0.0473 0.2217
Se22 0.4083 0.2783 0.3256
Se23 0.5826 0.9527 0.6744
Se24 0.9174 0.8256 0.5473
Se25 0.3256 0.5473 0.4174
Se26 0.4527 0.6744 0.0826
Se27 0.6744 0.2217 0.5917
Se28 0.1744 0.0917 0.7217
Se29 0.0473 0.6300 0.7217
Se30 0.6300 0.5826 0.9083
Se31 0.0826 0.9083 0.1300
Se32 0.4083 0.1300 0.5826
Se33 0.6744 0.4527 0.5826
Se34 0.9527 0.5826 0.1744
Se35 0.1744 0.0826 0.9527
Se36 0.5917 0.8700 0.4174
Se37 0.5917 0.7217 0.6744
Se38 0.3700 0.9527 0.7783
Se39 0.2783 0.8700 0.9527
Se40 0.4174 0.0473 0.3256
Se41 0.9083 0.0826 0.6300
Se42 0.5473 0.2217 0.1300
Se43 0.9083 0.8256 0.7783
Se44 0.2217 0.5473 0.6300
Se45 0.8256 0.9174 0.0473
Se46 0.8700 0.2783 0.4527
Se47 0.3256 0.7783 0.4083
Se48 0.7783 0.4527 0.3700
Pu1 0.2500 0.1250 0.3750
Pu2 0.3750 0.7500 0.6250
Pu3 0.8750 0.1250 0.2500
Pu4 0.7500 0.3750 0.1250
Pu5 0.6250 0.3750 0.7500
Pu6 0.6250 0.2500 0.3750
Pu7 0.1250 0.2500 0.8750
Pu8 0.8750 0.7500 0.1250
Pu9 0.7500 0.8750 0.6250
Pu10 0.1250 0.8750 0.7500
Pu11 0.2500 0.6250 0.8750
Pu12 0.3750 0.6250 0.2500

Computed properties:
SG: Ia-3d
Volume in Å³/atom: 29.73
Formation energy without anion corrections in eV per atom: -1.5214
D(E_F) in states/eV/atom: 1.6885

***

No. 2
Density functional theory data (GGA-PBE) for LaCuNi after structural relaxation.

a = 4.2293 Å, b = 4.2293 Å, c = 3.8894 Å
α = 90.00°, β = 90.00°, γ = 120.00°
Positions (direct):
La1 0.6667 0.3333 0.3334
Cu1 0.0000 0.0000 0.8333
Ni1 0.3333 0.6667 0.8333

Computed properties:
SG: P-6m2
Volume in Å³/atom: 20.08
Energy of formation in meV/atom: -271.0
D(E_F) in states/eV/atom: 0.6980

***

No. 3
Density functional theory data (GGA-PBE) for SrNiAg2 after structural relaxation.

a = 4.4348 Å, b = 4.7147 Å, c = 4.7239 Å
α = 71.33°, β = 90.00°, γ = 90.00°
Positions (direct):
Sr1 0.5000 0.7500 0.7500
Ni1 0.5000 0.2500 0.2500
Ag1 0.0000 0.4286 0.4291
Ag2 0.0000 0.0714 0.0709

Computed properties:
SG: Cmmm
Volume in Å³/atom: 23.39
Energy of formation in meV/atom: 105.2
D(E_F) in states/eV/atom: 0.3556

***

No. 4
Density functional theory data (GGA-PBE) for EuScZnIr after structural relaxation.

a = 4.8556 Å, b = 4.8556 Å, c = 4.8556 Å
α = 60.00°, β = 60.00°, γ = 60.00°
Positions (direct):
Zn1 0.5000 0.5000 0.5000
Sc1 0.7500 0.7500 0.7500
Ir1 0.0000 0.0000 0.0000
Eu1 0.2500 0.2500 0.2500

Computed properties:
SG: F-43m
Volume in Å³/atom: 20.24
Energy of formation in meV/atom: -386.0
D(E_F) in states/eV/atom: 1.1581

***

No. 5
Density functional theory data (GGA-PBE) for Na3TlBr4 after structural relaxation.

a = 6.3290 Å, b = 8.9457 Å, c = 10.4840 Å
α = 90.00°, β = 90.00°, γ = 90.00°
Positions (direct):
Br1 0.0643 0.3443 0.7323
Br2 0.0643 0.3443 0.2677
Br3 0.0645 0.8396 0.5000
Br4 0.5643 0.6557 0.7677
Br5 0.5643 0.6557 0.2323
Br6 0.5643 0.1971 0.5000
Br7 0.0643 0.8029 0.0000
Br8 0.5645 0.1604 0.0000
Na1 0.5645 0.3341 0.2486
Na2 0.0643 0.1759 0.5000
Na3 0.0645 0.6659 0.2514
Na4 0.5643 0.8241 0.0000
Na5 0.0645 0.6659 0.7486
Na6 0.5645 0.3341 0.7514
Tl1 0.5645 0.8348 0.5000
Tl2 0.0645 0.1652 0.0000

Computed properties:
SG: Pmmn
Volume in Å³/atom: 37.10
Formation energy without anion corrections in eV per atom: -1.3351
Energy above the most stable polymorph in this dataset in meV/atom: 25
D(E_F) in states/eV/atom: 0.0000

***

No. 6
Density functional theory data (GGA-PBE) for Y2CoAuN after structural relaxation.

a = 4.9419 Å, b = 4.9419 Å, c = 3.6529 Å
α = 90.00°, β = 90.00°, γ = 90.00°
Positions (direct):
Y1 0.0000 0.5000 0.0000
Y2 0.5000 0.0000 0.0000
Co1 0.0000 0.0000 0.5000
N1 0.0000 0.0000 0.0000
Au1 0.5000 0.5000 0.5000

Computed properties:
SG: P4/mmm
Volume in Å³/atom: 17.84
Formation energy without anion corrections in eV per atom: -0.9004
D(E_F) in states/eV/atom: 0.7454

***

No. 7
Density functional theory data (GGA-PBE) for La4Pm5Tm after structural relaxation.

a = 6.3318 Å, b = 8.1365 Å, c = 8.1365 Å
α = 81.29°, β = 67.10°, γ = 67.10°
Positions (direct):
Pm1 0.7812 0.3778 0.9996
Pm2 0.6952 0.0000 0.0000
Pm3 0.1586 0.6222 0.0004
Pm4 0.1590 0.9996 0.6222
Pm5 0.7808 0.0004 0.3778
La1 0.7523 0.6755 0.6750
La2 0.1027 0.3245 0.3250
La3 0.4273 0.3250 0.6755
La4 0.4277 0.6750 0.3245
Tm1 0.2255 0.0000 0.0000

Computed properties:
SG: I4mm
Volume in Å³/atom: 35.57
Energy of formation in meV/atom: 197.9
Energy above the most stable polymorph in this dataset in meV/atom: 137
D(E_F) in states/eV/atom: 1.3287

***

No. 8
Density functional theory data (GGA-PBE) for PrHSe after structural relaxation.

a = 4.0941 Å, b = 5.7068 Å, c = 6.8019 Å
α = 102.93°, β = 90.00°, γ = 111.02°
Positions (direct):
Pr1 0.0628 0.1256 0.7892
Pr2 0.9372 0.8744 0.2108
H1 0.8986 0.7971 0.5128
H2 0.1014 0.2029 0.4872
Se1 0.3525 0.7050 0.8609
Se2 0.6475 0.2950 0.1391

Computed properties:
SG: C2/m
Volume in Å³/atom: 24.00
DFT total energy in eV per formula unit: -14.5

***

No. 9
Density functional theory data (GGA-PBE) for Si3AsPd after structural relaxation.

a = 4.6758 Å, b = 4.6758 Å, c = 4.6758 Å
α = 90.00°, β = 90.00°, γ = 90.00°
Positions (direct):
Si1 0.5000 0.0000 0.0000
Si2 0.0000 0.0000 0.5000
Si3 0.0000 0.5000 0.0000
Pd1 0.0000 0.0000 0.0000
As1 0.5000 0.5000 0.5000

Computed properties:
SG: Pm-3m
Volume in Å³/atom: 20.45
Formation energy without anion corrections in eV per atom: 0.5985
Energy above the most stable polymorph in this dataset in meV/atom: 0
D(E_F) in states/eV/atom: 0.4177

***

No. 10
Density functional theory data (GGA-PBE) for Pm3PuAl8 after structural relaxation.

a = 5.6261 Å, b = 5.6261 Å, c = 9.7605 Å
α = 73.25°, β = 73.25°, γ = 60.00°
Positions (direct):
Al1 0.9370 0.4388 0.6871
Al2 0.4369 0.9384 0.1878
Al3 0.4369 0.4369 0.1878
Al4 0.9384 0.4369 0.1878
Al5 0.4388 0.9370 0.6871
Al6 0.1878 0.1878 0.4365
Al7 0.9370 0.9370 0.6871
Al8 0.6876 0.6876 0.9372
Pm1 0.3752 0.3752 0.8745
Pm2 0.9973 0.9973 0.0081
Pm3 0.5019 0.5019 0.4942
Pu1 0.8751 0.8751 0.3747

Computed properties:
SG: R3m
Volume in Å³/atom: 21.03
Energy of formation in meV/atom: -451.9
D(E_F) in states/eV/atom: 1.5984

***

No. 11
Density functional theory data (GGA-PBE) for TaCu2P after structural relaxation.

a = 4.2710 Å, b = 4.2710 Å, c = 4.2710 Å
α = 60.00°, β = 60.00°, γ = 60.00°
Positions (direct):
P1 0.5000 0.5000 0.5000
Cu1 0.7500 0.7500 0.7500
Cu2 0.0000 0.0000 0.0000
Ta1 0.2500 0.2500 0.2500

Computed properties:
SG: F-43m
Volume in Å³/atom: 13.77
Energy of formation in meV/atom: 96.8
D(E_F) in states/eV/atom: 0.8044

***

No. 12
Density functional theory data (GGA-PBE) for NpNbMo2 after structural relaxation.

a = 4.6556 Å, b = 4.6556 Å, c = 4.6556 Å
α = 60.00°, β = 60.00°, γ = 60.00°
Positions (direct):
Mo1 0.7500 0.7500 0.7500
Mo2 0.2500 0.2500 0.2500
Np1 0.5000 0.5000 0.5000
Nb1 0.0000 0.0000 0.0000

Computed properties:
SG: Fm-3m
Volume in Å³/atom: 17.84
Energy of formation in meV/atom: 223.2
Energy above the most stable polymorph in this dataset in meV/atom: 20
D(E_F) in states/eV/atom: 2.3405

***

No. 13
Density functional theory data (GGA-PBE) for CeErTh2N4 after structural relaxation.

a = 3.5834 Å, b = 6.2172 Å, c = 6.2081 Å
α = 109.40°, β = 90.00°, γ = 90.00°
Positions (direct):
Er1 0.0000 0.0000 0.0000
Th1 0.5000 0.0000 0.5000
Th2 0.0000 0.5000 0.5000
N1 0.0000 0.7536 0.2431
N2 0.0000 0.2464 0.7569
N3 0.5000 0.2436 0.2422
N4 0.5000 0.7564 0.7578
Ce1 0.5000 0.5000 0.0000

Computed properties:
SG: P2/m
Volume in Å³/atom: 16.31
Formation energy without anion corrections in eV per atom: -1.5836
D(E_F) in states/eV/atom: 0.5956

***

No. 14
Density functional theory data (GGA-PBE) for SnPb5I12 after structural relaxation.

a = 8.0310 Å, b = 8.0498 Å, c = 15.3107 Å
α = 89.98°, β = 89.96°, γ = 60.08°
Positions (direct):
I1 0.3285 0.0000 0.1208
I2 0.0000 0.6715 0.1209
I3 0.8328 0.6667 0.6224
I4 0.1661 0.0000 0.6223
I5 0.4995 0.3333 0.6224
I6 0.5005 0.6667 0.3776
I7 0.3285 0.6715 0.8791
I8 0.0000 0.3285 0.8791
I9 0.6715 0.3285 0.1209
I10 0.8339 0.0000 0.3777
I11 0.1672 0.3333 0.3776
I12 0.6715 0.0000 0.8792
Sn1 0.0000 0.0000 0.0000
Pb1 0.3333 0.3334 0.0000
Pb2 0.6667 0.6666 0.0000
Pb3 0.5000 0.0000 0.5000
Pb4 0.1667 0.6665 0.5000
Pb5 0.8333 0.3335 0.5000

Computed properties:
SG: C2/m
Volume in Å³/atom: 47.66
Formation energy without anion corrections in eV per atom: -0.6265
D(E_F) in states/eV/atom: 0.0000

***

No. 15
Density functional theory data (GGA-PBE) for KPbSe2O8 after structural relaxation.

a = 5.3347 Å, b = 5.3347 Å, c = 8.9999 Å
α = 72.76°, β = 72.76°, γ = 60.00°
Positions (direct):
K1 0.5000 0.5000 0.5000
Pb1 0.0000 0.0000 0.0000
Se1 0.7464 0.7464 0.7607
Se2 0.2536 0.2536 0.2393
O1 0.9727 0.5709 0.1721
O2 0.8114 0.8114 0.5658
O3 0.4291 0.7157 0.8279
O4 0.7157 0.0273 0.8279
O5 0.0273 0.4291 0.8279
O6 0.5709 0.2843 0.1721
O7 0.2843 0.9727 0.1721
O8 0.1886 0.1886 0.4342

Computed properties:
SG: R-3
Volume in Å³/atom: 17.37
Formation energy without anion corrections in eV per atom: -0.9089
D(E_F) in states/eV/atom: 0.4168

***

No. 16
Density functional theory data (GGA-PBE) for MnCoPb2 after structural relaxation.

a = 4.7908 Å, b = 4.7908 Å, c = 3.4572 Å
α = 90.00°, β = 90.00°, γ = 90.31°
Positions (direct):
Co1 0.5000 0.0000 0.5000
Pb1 0.0000 0.0000 0.0000
Pb2 0.5000 0.5000 0.0000
Mn1 0.0000 0.5000 0.5000

Computed properties:
SG: Cmmm
Volume in Å³/atom: 19.84
Energy of formation in meV/atom: 573.2
Energy above the most stable polymorph in this dataset in meV/atom: 310
D(E_F) in states/eV/atom: 1.1635

***

No. 17
Density functional theory data (GGA-PBE) for ZrCuRe2 after structural relaxation.

a = 4.3898 Å, b = 2.8475 Å, c = 5.2450 Å
α = 79.11°, β = 90.00°, γ = 90.00°
Positions (direct):
Re1 0.0000 0.9007 0.0342
Re2 0.5000 0.2194 0.1991
Zr1 0.0000 0.4746 0.5301
Cu1 0.5000 0.9053 0.7366

Computed properties:
SG: Pm
Volume in Å³/atom: 16.10
Energy of formation in meV/atom: 54.0
Energy above the most stable polymorph in this dataset in meV/atom: 34
D(E_F) in states/eV/atom: 0.6644

***

No. 18
Density functional theory data (GGA-PBE) for UTl5Se6 after structural relaxation.

a = 7.7468 Å, b = 7.6766 Å, c = 7.6560 Å
α = 59.91°, β = 81.32°, γ = 72.48°
Positions (direct):
Se1 0.2111 0.9288 0.7112
Se2 0.7889 0.0712 0.2888
Se3 0.2111 0.6400 0.2888
Se4 0.7746 0.7872 0.0000
Se5 0.7889 0.3600 0.7112
Se6 0.2254 0.2128 0.0000
Tl1 0.5000 0.1693 0.6614
Tl2 0.0000 0.3341 0.3318
Tl3 0.0000 0.6659 0.6682
Tl4 0.5000 0.8307 0.3386
Tl5 0.5000 0.5000 0.0000
U1 0.0000 0.0000 0.0000

Computed properties:
SG: C2/m
Volume in Å³/atom: 31.31
Formation energy without anion corrections in eV per atom: -0.5954
D(E_F) in states/eV/atom: 0.8550

***

No. 19
Density functional theory data (GGA-PBE) for Sm2Pb3 after structural relaxation.

a = 4.6748 Å, b = 7.9690 Å, c = 7.9690 Å
α = 90.00°, β = 90.00°, γ = 90.00°
Positions (direct):
Pb1 0.0000 0.1759 0.3959
Pb2 0.0000 0.8241 0.6041
Pb3 0.5000 0.5000 0.5000
Pb4 0.0000 0.3959 0.8241
Pb5 0.0000 0.6041 0.1759
Pb6 0.0000 0.0000 0.0000
Sm1 0.5000 0.1424 0.6938
Sm2 0.5000 0.8576 0.3062
Sm3 0.5000 0.6938 0.8576
Sm4 0.5000 0.3062 0.1424

Computed properties:
SG: P4/m
Volume in Å³/atom: 29.69
Energy of formation in meV/atom: -472.9
D(E_F) in states/eV/atom: 0.8475

***

No. 20
Density functional theory data (GGA-PBE) for ScSbI2F after structural relaxation.

a = 5.5288 Å, b = 5.5288 Å, c = 5.7489 Å
α = 90.00°, β = 90.00°, γ = 90.00°
Positions (direct):
F1 0.5000 0.5000 0.5000
I1 0.0000 0.5000 0.0000
I2 0.5000 0.0000 0.0000
Sc1 0.0000 0.0000 0.0000
Sb1 0.0000 0.0000 0.5000

Computed properties:
SG: P4/mmm
Volume in Å³/atom: 35.15
Formation energy without anion corrections in eV per atom: -0.4665
Energy above the most stable polymorph in this dataset in meV/atom: 0
D(E_F) in states/eV/atom: 0.8360